VASP calculation (PBE with a Hubbard U) on a relaxed Ca5MnSi9Pb9O33 crystal.

Structure (POSCAR):
```
Ca5MnSi9Pb9O33
1.0
9.982 0.000 0.000
-4.991 8.644 0.000
0.000 0.000 10.291
Ca Mn Si Pb O
5 1 9 9 33
direct
0.000 0.000 0.000
0.000 0.000 0.339
0.000 0.000 0.661
0.667 0.333 0.321
0.667 0.333 0.679
0.667 0.333 0.000
0.313 0.049 0.148
0.313 0.049 0.852
0.357 0.282 0.500
0.718 0.076 0.500
0.737 0.687 0.148
0.737 0.687 0.852
0.924 0.643 0.500
0.951 0.263 0.148
0.951 0.263 0.852
0.063 0.669 0.177
0.063 0.669 0.823
0.065 0.414 0.500
0.331 0.395 0.177
0.331 0.395 0.823
0.349 0.935 0.500
0.586 0.651 0.500
0.605 0.937 0.177
0.605 0.937 0.823
0.035 0.294 0.000
0.093 0.357 0.252
0.093 0.357 0.748
0.174 0.162 0.500
0.199 0.126 0.170
0.199 0.126 0.830
0.259 0.965 0.000
0.264 0.907 0.252
0.264 0.907 0.748
0.420 0.404 0.376
0.420 0.404 0.624
0.463 0.196 0.500
0.493 0.181 0.151
0.493 0.181 0.849
0.596 0.016 0.376
0.596 0.016 0.624
0.643 0.736 0.252
0.643 0.736 0.748
0.688 0.507 0.151
0.688 0.507 0.849
0.706 0.741 0.000
0.733 0.537 0.500
0.804 0.267 0.500
0.819 0.312 0.151
0.819 0.312 0.849
0.838 0.012 0.500
0.874 0.073 0.170
0.874 0.073 0.830
0.927 0.801 0.170
0.927 0.801 0.830
0.984 0.580 0.376
0.984 0.580 0.624
0.988 0.826 0.500
```

Values from the calculation:
* calculated volume: 15.58 Å³ per atom
* final energy: -6.9864 eV per atom
* crystal system: hexagonal